Entry 1:
A plane-wave DFT calculation with PBE was carried out for an optimized crystal structure of Y2CoMo.

Values from the calculation:
Formation enthalpy at 0 K: 0.31 eV/f.u.
Energy relative to the lowest polymorph listed for this composition: 0.000 eV per atom
Fermi-level density of states: 4.5 states/eV/f.u.

abc: 4.4565 3.8886 5.6588
angles: 90.00 113.15 90.00
Space group Pm (No. 6)
Symmetry-distinct sites (fractional):
Y (0.0000, 0.0000, 0.0000) x1
Y (0.2956, 0.5000, 0.5929) x1
Co (0.7103, 0.0000, 0.4233) x1
Mo (0.5978, 0.5000, 0.1953) x1

=====

Entry 2:
A plane-wave DFT calculation with PBE was carried out for an optimized crystal structure of YBe2Fe3.

Values from the calculation:
Formation enthalpy at 0 K: -0.89 eV/f.u.
Fermi-level density of states: 4.4 states/eV/f.u.

abc: 4.9524 4.9524 3.6174
angles: 90.00 90.00 120.00
Space group P6/mmm (No. 191)
Symmetry-distinct sites (fractional):
Y (0.0000, 0.0000, 0.0000) x1
Be (0.3333, 0.6667, 0.0000) x2
Fe (0.0000, 0.5000, 0.5000) x3

=====

Entry 3:
A plane-wave DFT calculation with PBE was carried out for an optimized crystal structure of RbMnSi2As.

Values from the calculation:
E_form (uncorrected): 2.7826 eV/atom
Fermi-level density of states: 5.5 states/eV/f.u.

abc: 5.3160 5.3160 5.4172
angles: 90.00 90.00 90.00
Space group P4/mmm (No. 123)
Symmetry-distinct sites (fractional):
Rb (0.0000, 0.0000, 0.0000) x1
Mn (0.5000, 0.5000, 0.5000) x1
Si (0.0000, 0.5000, 0.0000) x2
As (0.0000, 0.0000, 0.5000) x1

=====

Entry 4:
A plane-wave DFT calculation with PBE was carried out for an optimized crystal structure of FeCo2As.

Values from the calculation:
Formation enthalpy at 0 K: -0.02 eV/f.u.
Fermi-level density of states: 4.6 states/eV/f.u.

abc: 3.5232 3.5232 7.6140
angles: 90.00 90.00 90.00
Space group I-4m2 (No. 119)
Symmetry-distinct sites (fractional):
Fe (0.0000, 0.0000, 0.0000) x2
Co (0.0000, 0.0000, 0.5000) x2
Co (0.0000, 0.5000, 0.7500) x2
As (0.0000, 0.5000, 0.2500) x2

=====

Entry 5:
A plane-wave DFT calculation with PBE was carried out for an optimized crystal structure of NiPbBr2.

Values from the calculation:
E_form (uncorrected): 0.2167 eV/atom
Energy relative to the lowest polymorph listed for this composition: 0.548 eV per atom
Fermi-level density of states: 4.7 states/eV/f.u.

abc: 5.0965 5.0965 3.7297
angles: 90.00 90.00 90.00
Space group P4/mmm (No. 123)
Symmetry-distinct sites (fractional):
Ni (0.0000, 0.0000, 0.0000) x1
Pb (0.5000, 0.5000, 0.0000) x1
Br (0.0000, 0.5000, 0.5000) x2

=====

Entry 6:
A plane-wave DFT calculation with PBE was carried out for an optimized crystal structure of Tm2CoPd.

Values from the calculation:
Formation enthalpy at 0 K: -1.29 eV/f.u.
Fermi-level density of states: 2.0 states/eV/f.u.

abc: 3.7266 3.7266 20.9942
angles: 90.00 90.00 120.00
Space group R-3m (No. 166, hexagonal axes)
Symmetry-distinct sites (fractional):
Tm (0.0000, 0.0000, 0.2417) x6
Co (0.0000, 0.0000, 0.5000) x3
Pd (0.0000, 0.0000, 0.0000) x3

=====

Entry 7:
A plane-wave DFT calculation with PBE was carried out for an optimized crystal structure of Rb2ZnCdP2.

Values from the calculation:
Formation enthalpy at 0 K: -1.98 eV/f.u.
Fermi-level density of states: 0.0 states/eV/f.u.

abc: 6.2658 16.4328 6.2424
angles: 90.00 90.00 90.00
Space group Ibam (No. 72)
Symmetry-distinct sites (fractional):
Rb (0.2459, 0.1730, 0.0000) x8
Zn (0.0000, 0.5000, 0.2500) x4
Cd (0.0000, 0.0000, 0.2500) x4
P (0.2281, 0.4110, 0.0000) x8

=====

Entry 8:
A plane-wave DFT calculation with PBE was carried out for an optimized crystal structure of Pm2MgS.

Values from the calculation:
E_form (uncorrected): -0.9273 eV/atom
Energy relative to the lowest polymorph listed for this composition: 0.043 eV per atom
Fermi-level density of states: 3.6 states/eV/f.u.

abc: 3.9062 3.9062 25.8624
angles: 90.00 90.00 120.00
Space group R3m (No. 160, hexagonal axes)
Symmetry-distinct sites (fractional):
Pm (0.0000, 0.0000, 0.0000) x3
Pm (0.0000, 0.0000, 0.2064) x3
Mg (0.0000, 0.0000, 0.4363) x3
S (0.0000, 0.0000, 0.6039) x3

=====

Entry 9:
A plane-wave DFT calculation with PBE was carried out for an optimized crystal structure of FePtCl6.

Values from the calculation:
E_form (uncorrected): -0.5180 eV/atom
Fermi-level density of states: 1.8 states/eV/f.u.

abc: 6.0045 11.9961 6.0048
angles: 90.00 107.58 90.00
Space group C2/m (No. 12)
Symmetry-distinct sites (fractional):
Fe (0.0000, 0.0000, 0.0000) x2
Pt (0.0000, 0.5000, 0.5000) x2
Cl (0.2416, 0.3656, 0.7413) x8
Cl (0.2441, 0.0000, 0.7566) x4

=====

Entry 10:
A plane-wave DFT calculation with PBE was carried out for an optimized crystal structure of LiSnAu2.

Values from the calculation:
Formation enthalpy at 0 K: -1.44 eV/f.u.
Fermi-level density of states: 1.4 states/eV/f.u.

abc: 4.3723 4.3723 3.8938
angles: 90.00 90.00 90.00
Space group P4/mmm (No. 123)
Symmetry-distinct sites (fractional):
Li (0.0000, 0.0000, 0.0000) x1
Sn (0.5000, 0.5000, 0.0000) x1
Au (0.0000, 0.5000, 0.5000) x2

=====

Entry 11:
A plane-wave DFT calculation with PBE was carried out for an optimized crystal structure of Er3ThMg2.

Values from the calculation:
Formation enthalpy at 0 K: -0.28 eV/f.u.
Fermi-level density of states: 5.1 states/eV/f.u.

abc: 3.5985 3.5985 13.1078
angles: 90.00 90.00 90.00
Space group P4/mmm (No. 123)
Symmetry-distinct sites (fractional):
Er (0.0000, 0.0000, 0.0000) x1
Er (0.0000, 0.0000, 0.3175) x2
Th (0.5000, 0.5000, 0.5000) x1
Mg (0.5000, 0.5000, 0.1568) x2

=====

Entry 12:
A plane-wave DFT calculation with PBE was carried out for an optimized crystal structure of Pm2MgSiPd6.

Values from the calculation:
E_form (uncorrected): -0.6572 eV/atom
Fermi-level density of states: 4.4 states/eV/f.u.

abc: 5.5916 6.3433 6.6696
angles: 74.20 65.34 63.88
Space group P-1 (No. 2)
Symmetry-distinct sites (fractional):
Pm (0.0035, 0.2460, 0.2465) x2
Mg (0.5000, 0.0000, 0.5000) x1
Si (0.5000, 0.5000, 0.0000) x1
Pd (0.0188, 0.6840, 0.2862) x2
Pd (0.3308, 0.9192, 0.9188) x2
Pd (0.4888, 0.3160, 0.7144) x2

=====

Entry 13:
A plane-wave DFT calculation with PBE was carried out for an optimized crystal structure of FeAgHIr2.

Values from the calculation:
Final energy: -5.995 eV/atom
Fermi-level density of states: 8.9 states/eV/f.u.

abc: 3.9261 3.9261 3.8887
angles: 90.00 90.00 90.00
Space group P4/mmm (No. 123)
Symmetry-distinct sites (fractional):
Fe (0.0000, 0.0000, 0.0000) x1
Ag (0.5000, 0.5000, 0.0000) x1
H (0.0000, 0.0000, 0.5000) x1
Ir (0.0000, 0.5000, 0.5000) x2

=====

Entry 14:
A plane-wave DFT calculation with PBE was carried out for an optimized crystal structure of TbGa2Pt.

Values from the calculation:
Formation enthalpy at 0 K: -3.27 eV/f.u.
Fermi-level density of states: 2.0 states/eV/f.u.

abc: 4.2626 4.2626 14.9037
angles: 90.00 90.00 120.00
Space group R-3m (No. 166, hexagonal axes)
Symmetry-distinct sites (fractional):
Tb (0.0000, 0.0000, 0.0000) x3
Ga (0.0000, 0.0000, 0.2192) x6
Pt (0.0000, 0.0000, 0.5000) x3

=====

Entry 15:
A plane-wave DFT calculation with PBE was carried out for an optimized crystal structure of SmMg2Ge.

Values from the calculation:
Formation enthalpy at 0 K: -1.56 eV/f.u.
Fermi-level density of states: 0.8 states/eV/f.u.

abc: 4.3670 4.3670 4.7930
angles: 90.00 90.00 90.00
Space group P4/mmm (No. 123)
Symmetry-distinct sites (fractional):
Sm (0.0000, 0.0000, 0.0000) x1
Mg (0.0000, 0.5000, 0.5000) x2
Ge (0.5000, 0.5000, 0.0000) x1

=====

Entry 16:
A plane-wave DFT calculation with PBE was carried out for an optimized crystal structure of In2TeAs.

Values from the calculation:
E_form (uncorrected): 0.1216 eV/atom
Energy relative to the lowest polymorph listed for this composition: 0.287 eV per atom
Fermi-level density of states: 1.8 states/eV/f.u.

abc: 3.9896 4.7621 5.6053
angles: 90.00 90.00 90.00
Space group Pmmm (No. 47)
Symmetry-distinct sites (fractional):
In (0.0000, 0.0000, 0.0000) x1
In (0.5000, 0.5000, 0.0000) x1
Te (0.0000, 0.5000, 0.5000) x1
As (0.5000, 0.0000, 0.5000) x1

=====

Entry 17:
A plane-wave DFT calculation with PBE was carried out for an optimized crystal structure of Sb5Pb3S12.

Values from the calculation:
E_form (uncorrected): -0.1882 eV/atom
Fermi-level density of states: 5.2 states/eV/f.u.

abc: 16.4599 16.4599 16.4599
angles: 90.00 90.00 90.00
Space group Ia-3d (No. 230)
Symmetry-distinct sites (fractional):
Sb (0.0000, 0.0000, 0.0000) x16
Sb (0.0000, 0.2500, 0.3750) x24
Pb (0.0000, 0.2500, 0.1250) x24
S (0.0260, 0.0604, 0.6511) x96

=====

Entry 18:
A plane-wave DFT calculation with PBE was carried out for an optimized crystal structure of Sr4CaTb3Te8.

Values from the calculation:
E_form (uncorrected): -1.5481 eV/atom
Fermi-level density of states: 5.3 states/eV/f.u.

abc: 9.0628 9.0628 22.5964
angles: 90.00 90.00 120.00
Space group R-3m (No. 166, hexagonal axes)
Symmetry-distinct sites (fractional):
Sr (0.0000, 0.0000, 0.0000) x3
Sr (0.0000, 0.5000, 0.0000) x9
Ca (0.0000, 0.0000, 0.5000) x3
Tb (0.0000, 0.5000, 0.5000) x9
Te (0.0000, 0.0000, 0.2440) x6
Te (0.0027, 0.5013, 0.7558) x18

=====

Entry 19:
A plane-wave DFT calculation with PBE was carried out for an optimized crystal structure of SmErZnGe.

Values from the calculation:
Formation enthalpy at 0 K: -2.07 eV/f.u.
Energy relative to the lowest polymorph listed for this composition: 0.084 eV per atom
Fermi-level density of states: 2.4 states/eV/f.u.

abc: 7.1450 7.1450 7.1450
angles: 90.00 90.00 90.00
Space group F-43m (No. 216)
Symmetry-distinct sites (fractional):
Sm (0.0000, 0.0000, 0.0000) x4
Er (0.0000, 0.0000, 0.5000) x4
Zn (0.2500, 0.2500, 0.7500) x4
Ge (0.2500, 0.2500, 0.2500) x4

=====

Entry 20:
A plane-wave DFT calculation with PBE was carried out for an optimized crystal structure of Na3Mg2In3.

Values from the calculation:
Formation enthalpy at 0 K: -0.73 eV/f.u.
Fermi-level density of states: 3.3 states/eV/f.u.

abc: 8.7240 8.7240 3.2049
angles: 90.00 90.00 120.00
Space group P-62m (No. 189)
Symmetry-distinct sites (fractional):
Na (0.0000, 0.7593, 0.0000) x3
Mg (0.3333, 0.6667, 0.0000) x2
In (0.0000, 0.3946, 0.5000) x3